(1)
{"formula": "RbCrBF6", "functional": "GGA+U", "state": "optimized geometry", "m_tot_mub_per_cell": 4.00, "vol_a3_per_atom": 16.75, "total_energy_ev_per_cell": -50.9, "lattice_angstrom": [[5.3064, -0.0455, 0.1215], [2.6378, 4.6231, -0.1159], [0.1209, -0.2729, 6.1293]], "species": ["B", "F", "F", "F", "Rb", "F", "Cr", "F", "F"], "fractional_positions": [[0.3798, 0.3799, 0.5002], [0.3202, 0.6203, 0.3790], [0.4551, 0.1291, 0.3595], [0.6207, 0.3241, 0.6217], [0.9900, 0.9879, 0.9996], [0.1297, 0.4531, 0.6406], [0.7012, 0.7020, 0.4997], [0.8812, 0.5191, 0.2125], [0.5218, 0.8847, 0.7871]]}

(2)
{"formula": "RbCrB2F8", "functional": "GGA+U", "state": "optimized geometry", "m_tot_mub_per_cell": 5.00, "vol_a3_per_atom": 15.08, "total_energy_ev_per_cell": -69.1, "lattice_angstrom": [[5.2038, 0.0000, 0.0000], [2.6019, 4.5066, 0.0000], [2.6019, 1.5022, 7.7146]], "species": ["F", "B", "F", "F", "F", "F", "F", "B", "Cr", "F", "F", "Rb"], "fractional_positions": [[0.7155, 0.9936, 0.8126], [0.7490, 0.7490, 0.7531], [0.2845, 0.0064, 0.1874], [0.9936, 0.4783, 0.8126], [0.1896, 0.1896, 0.4311], [0.8104, 0.8104, 0.5689], [0.4783, 0.7155, 0.8126], [0.2510, 0.2510, 0.2469], [0.0000, 0.0000, 0.0000], [0.5217, 0.2845, 0.1874], [0.0064, 0.5217, 0.1874], [0.5000, 0.5000, 0.5000]]}

(3)
{"formula": "CrTc2BF", "functional": "GGA+U", "state": "optimized geometry", "m_tot_mub_per_cell": 1.70, "vol_a3_per_atom": 13.79, "total_energy_ev_per_cell": -30.5, "lattice_angstrom": [[-0.6831, -1.2030, 3.8562], [-0.4430, -3.8759, -1.2877], [4.0152, -0.6300, 0.5147]], "species": ["Tc", "Cr", "B", "Tc", "F"], "fractional_positions": [[0.5000, 0.0000, 0.0000], [0.0000, 0.5000, 0.0000], [0.5000, 0.5000, 0.5000], [0.0000, 0.0000, 0.5000], [0.0000, 0.0000, 0.0000]]}

(4)
{"formula": "CrB2TeF", "functional": "GGA+U", "state": "optimized geometry", "m_tot_mub_per_cell": 1.43, "vol_a3_per_atom": 15.95, "total_energy_ev_per_cell": -17.2, "lattice_angstrom": [[-0.1091, 0.1438, -4.3699], [1.3753, -3.9330, -0.1637], [-4.1274, -1.4456, 0.0555]], "species": ["B", "F", "B", "Cr", "Te"], "fractional_positions": [[0.5000, 0.0000, 0.0000], [0.0000, 0.5000, 0.0000], [0.0000, 0.0000, 0.5000], [0.5000, 0.5000, 0.5000], [0.0000, 0.0000, 0.0000]]}

(5)
{"formula": "TiCrBF2", "functional": "GGA+U", "state": "optimized geometry", "m_tot_mub_per_cell": 0.30, "vol_a3_per_atom": 14.77, "total_energy_ev_per_cell": -26.0, "lattice_angstrom": [[3.6395, 0.0000, 0.0000], [0.0000, 5.5772, 0.0000], [0.0000, 0.0000, 3.6395]], "species": ["Ti", "Cr", "B", "F", "F"], "fractional_positions": [[0.0000, 0.5000, 0.0000], [0.0000, 0.0000, 0.0000], [0.5000, 0.5000, 0.5000], [0.0000, 0.0000, 0.5000], [0.5000, 0.0000, 0.0000]]}

(6)
{"formula": "CrB2WF", "functional": "GGA+U", "state": "optimized geometry", "m_tot_mub_per_cell": 2.92, "vol_a3_per_atom": 11.72, "total_energy_ev_per_cell": -24.3, "lattice_angstrom": [[3.9997, 0.0000, 0.0000], [0.0000, 3.6644, 0.0000], [0.0000, 0.0000, 3.9997]], "species": ["B", "F", "W", "Cr", "B"], "fractional_positions": [[0.0000, 0.0000, 0.5000], [0.0000, 0.0000, 0.0000], [0.5000, 0.5000, 0.5000], [0.0000, 0.5000, 0.0000], [0.5000, 0.0000, 0.0000]]}